Record 1
# KMgIn | Alexandria | GGA-PBE | relaxed
# - Density of states at the Fermi level: 0.42 states/eV/atom
# - Distance to the lowest polymorph of the same formula: 0.075 eV/atom
# - Mass density: 2.98 g cm⁻³
# - Energy of formation from the pure elements: 0.012 eV per atom
data_KMgIn
_symmetry_space_group_name_H-M 'C 1 m 1'
_symmetry_Int_Tables_number 8
_cell_length_a 13.160
_cell_length_b 4.789
_cell_length_c 3.252
_cell_angle_alpha 90.00
_cell_angle_beta 104.27
_cell_angle_gamma 90.00
loop_
_symmetry_equiv_pos_as_xyz
'x,y,z'
'x,-y,z'
'x+1/2,y+1/2,z'
'x+1/2,-y+1/2,z'
loop_
_atom_site_label
_atom_site_type_symbol
_atom_site_fract_x
_atom_site_fract_y
_atom_site_fract_z
K1 K 0.000 0.000 0.000
Mg1 Mg 0.286 0.000 0.284
In1 In 0.202 0.500 0.700

Record 2
# La2PuSi | Alexandria | GGA-PBE | relaxed
# - Density of states at the Fermi level: 3.24 states/eV/atom
# - Distance to the lowest polymorph of the same formula: 0.365 eV/atom
# - Energy relative to the elements, uncorrected: 15.1 kJ per mole of atoms
# - Mass density: 7.14 g cm⁻³
data_La2PuSi
_symmetry_space_group_name_H-M 'R -3 m'
_symmetry_Int_Tables_number 166
_symmetry_space_group_name_Hall '-R 3 2"'
_cell_length_a 3.6892
_cell_length_b 3.6892
_cell_length_c 32.5499
_cell_angle_alpha 90.00
_cell_angle_beta 90.00
_cell_angle_gamma 120.00
loop_
_atom_site_label
_atom_site_type_symbol
_atom_site_fract_x
_atom_site_fract_y
_atom_site_fract_z
La1 La 0.0000 0.0000 0.1034
Pu1 Pu 0.0000 0.0000 0.0000
Si1 Si 0.0000 0.0000 0.5000

Record 3
# Dy6Ge3H | Alexandria | GGA-PBE | relaxed
# - Final energy: -200.51 eV/cell
# - Density of states at the Fermi level: 1.01 states/eV/atom
# - Mass density: 7.65 g cm⁻³
data_Dy6Ge3H
_symmetry_space_group_name_H-M 'C m c 21'
_symmetry_Int_Tables_number 36
_cell_length_a 11.152
_cell_length_b 13.856
_cell_length_c 6.709
_cell_angle_alpha 90.00
_cell_angle_beta 90.00
_cell_angle_gamma 90.00
loop_
_symmetry_equiv_pos_as_xyz
'x,y,z'
'-x,-y,z+1/2'
'-x,y,z'
'x,-y,z+1/2'
'x+1/2,y+1/2,z'
'-x+1/2,-y+1/2,z+1/2'
'-x+1/2,y+1/2,z'
'x+1/2,-y+1/2,z+1/2'
loop_
_atom_site_label
_atom_site_type_symbol
_atom_site_fract_x
_atom_site_fract_y
_atom_site_fract_z
Dy1 Dy 0.000 0.047 0.000
Dy2 Dy 0.000 0.226 0.466
Dy3 Dy 0.163 0.268 0.976
Dy4 Dy 0.164 0.471 0.460
Ge1 Ge 0.000 0.388 0.749
Ge2 Ge 0.170 0.109 0.685
H1 H 0.000 0.200 0.118

Record 4
# LiTm2Rh3 | Alexandria | GGA-PBE | relaxed
# - Density of states at the Fermi level: 0.35 states/eV/atom
# - Distance to the lowest polymorph of the same formula: 0.000 eV/atom
# - Mass density: 10.47 g cm⁻³
# - Energy of formation from the pure elements: -0.719 eV per atom
data_LiTm2Rh3
_symmetry_space_group_name_H-M 'P -3 m 1'
_symmetry_Int_Tables_number 164
_symmetry_space_group_name_Hall '-P 3 2"'
_cell_length_a 4.6013
_cell_length_b 4.6013
_cell_length_c 11.3099
_cell_angle_alpha 90.00
_cell_angle_beta 90.00
_cell_angle_gamma 120.00
loop_
_atom_site_label
_atom_site_type_symbol
_atom_site_fract_x
_atom_site_fract_y
_atom_site_fract_z
Li1 Li 0.3333 0.6667 0.1622
Tm1 Tm 0.0000 0.0000 0.0000
Tm2 Tm 0.0000 0.0000 0.5000
Tm3 Tm 0.3333 0.6667 0.6859
Rh1 Rh 0.0000 0.0000 0.2461
Rh2 Rh 0.3333 0.6667 0.4140
Rh3 Rh 0.3333 0.6667 0.9239

Record 5
# NpSbPb | Alexandria | GGA-PBE | relaxed
# - Density of states at the Fermi level: 2.76 states/eV/atom
# - Distance to the lowest polymorph of the same formula: 0.056 eV/atom
# - Energy relative to the elements, uncorrected: 15.4 kJ per mole of atoms
# - Mass density: 11.30 g cm⁻³
data_NpSbPb
_symmetry_space_group_name_H-M 'P -6 m 2'
_symmetry_Int_Tables_number 187
_symmetry_space_group_name_Hall 'P -6 2'
_cell_length_a 5.4896
_cell_length_b 5.4896
_cell_length_c 3.1865
_cell_angle_alpha 90.00
_cell_angle_beta 90.00
_cell_angle_gamma 120.00
loop_
_atom_site_label
_atom_site_type_symbol
_atom_site_fract_x
_atom_site_fract_y
_atom_site_fract_z
Np1 Np 0.0000 0.0000 0.0000
Sb1 Sb 0.3333 0.6667 0.5000
Pb1 Pb 0.6667 0.3333 0.5000

Record 6
# Sm2UCuSe5 | Alexandria | GGA-PBE | relaxed
# - Density of states at the Fermi level: 0.88 states/eV/atom
# - Energy relative to the elements, uncorrected: -129.6 kJ per mole of atoms
# - Mass density: 7.64 g cm⁻³
data_Sm2UCuSe5
_symmetry_space_group_name_H-M 'C m c 21'
_symmetry_Int_Tables_number 36
_cell_length_a 4.017
_cell_length_b 17.719
_cell_length_c 12.182
_cell_angle_alpha 90.00
_cell_angle_beta 90.00
_cell_angle_gamma 90.00
loop_
_symmetry_equiv_pos_as_xyz
'x,y,z'
'-x,-y,z+1/2'
'-x,y,z'
'x,-y,z+1/2'
'x+1/2,y+1/2,z'
'-x+1/2,-y+1/2,z+1/2'
'-x+1/2,y+1/2,z'
'x+1/2,-y+1/2,z+1/2'
loop_
_atom_site_label
_atom_site_type_symbol
_atom_site_fract_x
_atom_site_fract_y
_atom_site_fract_z
Sm1 Sm 0.000 0.108 0.000
Sm2 Sm 0.000 0.122 0.627
U1 U 0.000 0.195 0.326
Cu1 Cu 0.000 0.438 0.761
Se1 Se 0.000 0.043 0.369
Se2 Se 0.000 0.291 0.993
Se3 Se 0.000 0.316 0.658
Se4 Se 0.000 0.359 0.317
Se5 Se 0.000 0.497 0.088